Computed, not measured: a relaxed KGdTlHg crystal at the PBE level of DFT.

a b c (Å): 5.551 5.551 5.551
angles (deg): 60.00 60.00 60.00
Positions (direct):
Tl: 0.000 0.000 0.000
K: 0.750 0.750 0.750
Hg: 0.500 0.500 0.500
Gd: 0.250 0.250 0.250

- ΔH_f (0 K): -0.135 eV per atom

Computed, not measured: a relaxed Rb2PrPdO4 crystal at the PBE level of DFT.

a b c (Å): 6.274 7.768 12.570
angles (deg): 84.22 75.55 66.18
Positions (direct):
Rb: 0.553 0.500 0.895
Rb: 0.947 0.500 0.105
Rb: 0.803 0.000 0.395
Rb: 0.197 0.000 0.605
Pr: 0.000 0.000 0.000
Pr: 0.750 0.500 0.500
Pd: 0.250 0.500 0.500
Pd: 0.500 0.000 0.000
O: 0.911 0.701 0.526
O: 0.187 0.201 0.974
O: 0.839 0.799 0.974
O: 0.563 0.299 0.526
O: 0.138 0.299 0.474
O: 0.612 0.201 0.026
O: 0.389 0.701 0.474
O: 0.361 0.799 0.026

- ΔE_f (raw): -1276 meV/atom

Computed, not measured: a relaxed Ca2BiO crystal at the PBE level of DFT.

a b c (Å): 3.312 3.312 7.708
angles (deg): 90.00 90.00 90.00
Positions (direct):
O: 0.500 0.500 0.000
Ca: 0.000 0.000 0.811
Ca: 0.000 0.000 0.189
Bi: 0.500 0.500 0.500

- ΔE_f (raw): -1297 meV/atom
- Polymorph energy (0 for the lowest one): 179 kJ/mol of formula units

Computed, not measured: a relaxed Ti6Ge3C crystal at the PBE level of DFT.

a b c (Å): 6.933 5.922 5.922
angles (deg): 56.22 59.15 59.15
Positions (direct):
C: 0.500 0.500 0.500
Ge: 0.768 0.763 0.763
Ge: 0.000 0.000 0.000
Ge: 0.232 0.237 0.237
Ti: 0.823 0.278 0.278
Ti: 0.645 0.822 0.331
Ti: 0.177 0.722 0.722
Ti: 0.355 0.178 0.669
Ti: 0.645 0.331 0.822
Ti: 0.355 0.669 0.178

- ΔH_f (0 K): -0.382 eV per atom

Computed, not measured: a relaxed Tm4Al16Ni3 crystal at the PBE level of DFT.

a b c (Å): 6.031 6.031 11.014
angles (deg): 90.00 90.00 90.00
Positions (direct):
Al: 0.500 0.500 0.803
Al: 0.746 0.746 0.620
Al: 0.254 0.254 0.380
Al: 0.721 0.279 0.000
Al: 0.746 0.254 0.620
Al: 0.254 0.746 0.620
Al: 0.254 0.254 0.620
Al: 0.746 0.746 0.380
Al: 0.279 0.721 0.000
Al: 0.000 0.000 0.780
Al: 0.746 0.254 0.380
Al: 0.721 0.721 0.000
Al: 0.254 0.746 0.380
Al: 0.279 0.279 0.000
Al: 0.500 0.500 0.197
Al: 0.000 0.000 0.220
Tm: 0.000 0.500 0.190
Tm: 0.000 0.500 0.810
Tm: 0.500 0.000 0.810
Tm: 0.500 0.000 0.190
Ni: 0.500 0.000 0.500
Ni: 0.000 0.000 0.000
Ni: 0.000 0.500 0.500

- ΔH_f (0 K): -0.472 eV per atom

Computed, not measured: a relaxed Ac6GaRh crystal at the PBE level of DFT.

a b c (Å): 7.319 7.876 7.079
angles (deg): 56.20 82.39 76.23
Positions (direct):
Ac: 0.770 0.149 0.338
Ac: 0.770 0.487 0.662
Ac: 0.230 0.513 0.338
Ac: 0.230 0.851 0.662
Ac: 0.311 0.217 0.000
Ac: 0.689 0.783 0.000
Ga: 0.000 0.000 0.000
Rh: 0.500 0.500 0.000

- ΔH_f (0 K): -0.179 eV per atom

Repeat the fifth record exactly.
Computed, not measured: a relaxed Tm4Al16Ni3 crystal at the PBE level of DFT.

a b c (Å): 6.031 6.031 11.014
angles (deg): 90.00 90.00 90.00
Positions (direct):
Al: 0.500 0.500 0.803
Al: 0.746 0.746 0.620
Al: 0.254 0.254 0.380
Al: 0.721 0.279 0.000
Al: 0.746 0.254 0.620
Al: 0.254 0.746 0.620
Al: 0.254 0.254 0.620
Al: 0.746 0.746 0.380
Al: 0.279 0.721 0.000
Al: 0.000 0.000 0.780
Al: 0.746 0.254 0.380
Al: 0.721 0.721 0.000
Al: 0.254 0.746 0.380
Al: 0.279 0.279 0.000
Al: 0.500 0.500 0.197
Al: 0.000 0.000 0.220
Tm: 0.000 0.500 0.190
Tm: 0.000 0.500 0.810
Tm: 0.500 0.000 0.810
Tm: 0.500 0.000 0.190
Ni: 0.500 0.000 0.500
Ni: 0.000 0.000 0.000
Ni: 0.000 0.500 0.500

- ΔH_f (0 K): -0.472 eV per atom